# 1
Entry from the Alexandria database: an optimized crystal structure of Ba4ScMo (PBE).

Properties
The value obtained for the calculated density is 4.35 g/cm3. As for the energy of formation from the pure elements: 1168 meV/atom. For the total energy, the calculation gives -2.974 eV/atom.

abc: 7.1951 7.1951 7.1951
angles: 60.00 60.00 60.00
Closest atoms and distances in Å follow each position.
Fractional coordinates of all 6 atoms:
Ba (0.8752, 0.3749, 0.3749)  6 Ba 3.60
Ba (0.3749, 0.3749, 0.8752)  6 Ba 3.60
Ba (0.3749, 0.8752, 0.3749)  6 Ba 3.60
Ba (0.3749, 0.3749, 0.3749)  6 Ba 3.60
Sc (0.0000, 0.0000, 0.0000)  12 Ba 4.22, 4 Mo 4.41
Mo (0.7500, 0.7500, 0.7500)  12 Ba 4.22, 4 Sc 4.41

=====

# 2
Entry from the Alexandria database: an optimized crystal structure of BaSc2Mo (PBE).

Properties
The value obtained for the calculated density is 4.75 g/cm3. As for the energy above the most stable polymorph in this dataset: 0.197 eV per atom. As for the energy of formation from the pure elements: 487 meV/atom. For the total energy, the calculation gives -5.868 eV/atom.

abc: 4.4719 4.4719 8.2679
angles: 85.03 85.03 43.30
Closest atoms and distances in Å follow each position.
Fractional coordinates of all 4 atoms:
Ba (0.2500, 0.2500, 0.2500)  2 Ba 3.30, 2 Sc 3.53
Mo (0.7500, 0.7500, 0.7500)  6 Sc 2.72-2.77
Sc (0.0209, 0.0209, 0.9113)  3 Mo 2.72-2.77
Sc (0.4791, 0.4791, 0.5887)  3 Mo 2.72-2.77

=====

# 3
Entry from the Alexandria database: an optimized crystal structure of BaSc2Mo (PBE).

Properties
The value obtained for the calculated density is 3.42 g/cm3. As for the energy above the most stable polymorph in this dataset: 0.492 eV per atom. As for the energy of formation from the pure elements: 782 meV/atom. For the total energy, the calculation gives -5.573 eV/atom.

abc: 7.5973 7.5973 7.6454
angles: 60.21 60.21 90.00
Closest atoms and distances in Å follow each position.
Fractional coordinates of all 8 atoms:
Sc (0.3750, 0.1250, 0.2500)  2 Mo 2.34
Sc (0.3750, 0.6250, 0.2500)  2 Mo 2.34
Sc (0.3750, 0.6250, 0.7500)  2 Mo 2.34
Sc (0.8750, 0.6250, 0.7500)  2 Mo 2.34
Mo (0.5000, 0.5000, 0.0000)  4 Sc 2.34
Mo (0.2500, 0.7500, 0.5000)  4 Sc 2.34
Ba (0.0000, 0.0000, 0.0000)  12 Sc 4.46-4.50, 4 Ba 4.67, 4 Mo 4.67
Ba (0.7500, 0.2500, 0.5000)  12 Sc 4.46-4.50, 4 Ba 4.67, 4 Mo 4.67

=====

# 4
Entry from the Alexandria database: an optimized crystal structure of BaSc2Mo (PBE).

Properties
The value obtained for the calculated density is 4.69 g/cm3. As for the energy above the most stable polymorph in this dataset: 0.217 eV per atom. As for the energy of formation from the pure elements: 507 meV/atom. For the total energy, the calculation gives -5.847 eV/atom.

abc: 4.8724 3.2913 7.2581
angles: 79.72 90.00 90.00
Closest atoms and distances in Å follow each position.
Fractional coordinates of all 4 atoms:
Ba (0.0000, 0.5494, 0.5311)  2 Ba 3.29, 2 Sc 3.51-3.60, 2 Mo 3.51
Mo (0.5000, 0.7929, 0.8424)  4 Sc 2.62-2.93
Sc (0.0000, 0.9073, 0.9725)  2 Mo 2.66
Sc (0.5000, 0.2505, 0.1540)  2 Mo 2.62-2.93